DFT (PBE-GGA) results for an optimized crystal structure of VNi2TeC.

As for the total energy: -32.62 eV for the cell shown. The relative energy among the computed polymorphs is 0.0000 eV per atom. The calculation puts the volume at 12.61 A^3/atom. The uncorrected formation energy is 85 meV per atom.

Unit cell a=3.929 b=3.929 c=4.084 alpha=90.00 beta=90.00 gamma=90.00
Space group P4/mmm (No. 123)
Asymmetric unit:
V 0.000 0.000 0.000 x1
Ni 0.000 0.500 0.500 x2
Te 0.500 0.500 0.000 x1
C 0.000 0.000 0.500 x1


DFT (PBE-GGA) results for an optimized crystal structure of YEr2UP4.

As for the total energy: -60.14 eV for the cell shown. The value obtained for the formation energy is -1453.2 meV/atom. The calculation puts the volume at 22.02 A^3/atom.

Unit cell a=6.863 b=3.956 c=6.870 alpha=90.00 beta=109.24 gamma=90.00
Space group P2/m (No. 10)
Asymmetric unit:
Y 0.000 0.000 0.000 x1
Er 0.500 0.000 0.500 x1
Er 0.500 0.500 0.000 x1
U 0.000 0.500 0.500 x1
P 0.248 0.000 0.746 x2
P 0.249 0.500 0.256 x2


DFT (PBE-GGA) results for an optimized crystal structure of ThNpIn.

As for the total energy: -92.04 eV for the cell shown. The value obtained for the formation energy is 29.8 meV/atom. The calculation puts the volume at 26.61 A^3/atom.

Unit cell a=16.712 b=3.521 c=5.657 alpha=90.00 beta=106.36 gamma=90.00
Space group C2/m (No. 12)
Asymmetric unit:
Th 0.100 0.000 0.254 x4
Np 0.241 0.000 0.850 x4
In 0.074 0.500 0.738 x4